# 1
The following is a DFT calculation (PBE-GGA) of an optimized crystal structure of La2PuSn3.

Cell: 5.3674 6.4842 11.2302 Å, 90.00 90.00 90.00°
Space group Immm (No. 71)
One atom of each set of equivalent atoms:
La: 0.0000 0.0000 0.1769 [4 per cell]
Pu: 0.0000 0.0000 0.5000 [2 per cell]
Sn: 0.0000 0.5000 0.1460 [4 per cell]
Sn: 0.0000 0.5000 0.5000 [2 per cell]

***

# 2
The following is a DFT calculation (PBE-GGA) of an optimized crystal structure of LaPuSn2.

Cell: 4.9622 4.9622 4.5941 Å, 90.00 90.00 90.00°
Space group P4/mmm (No. 123)
One atom of each set of equivalent atoms:
La: 0.0000 0.0000 0.0000 [1 per cell]
Pu: 0.5000 0.5000 0.0000 [1 per cell]
Sn: 0.0000 0.5000 0.5000 [2 per cell]

***

# 3
The following is a DFT calculation (PBE-GGA) of an optimized crystal structure of LaPuSn.

Properties
Polymorph energy (0 for the lowest one), meV/atom: 105

Cell: 4.1923 4.1923 9.9526 Å, 90.00 90.00 90.00°
Space group I4mm (No. 107)
One atom of each set of equivalent atoms:
La: 0.0000 0.0000 0.0000 [2 per cell]
Pu: 0.0000 0.0000 0.3046 [2 per cell]
Sn: 0.0000 0.0000 0.6548 [2 per cell]

***

Number 1: formation enthalpy at 0 K -2.57 eV per formula unit, calculated volume 391 Å³/cell. Number 2: formation enthalpy at 0 K -2.09 eV per formula unit, calculated volume 113 Å³/cell. Number 3: formation enthalpy at 0 K -1.08 eV per formula unit, calculated volume 175 Å³/cell.